Material: Na2UAs2Pd
Method: DFT, PBE
State: optimized geometry

Summary:
formation enthalpy at 0 K = -3.13 eV/f.u.
spin magnetization = 0.330 μB per atom

a b c (Å): 4.3832 8.4392 7.0086
angles (deg): 90.00 90.00 90.00
Closest atoms and distances in Å follow each position.
Space group Pmc2_1 (No. 26)
One atom of each set of equivalent atoms:
Na 0.0000 0.0821 0.0000  3 As 2.98-3.05, 4 Na 3.15-3.26
Na 0.5000 0.1482 0.3343  4 As 2.90-3.01, 2 Na 3.15
U 0.5000 0.4662 0.9734  5 As 2.82-3.00, 2 Pd 3.00
As 0.0000 0.3807 0.2457  2 Pd 2.63-2.68
As 0.5000 0.1908 0.7445  2 Pd 2.61, 1 U 2.82, 1 Na 2.90
Pd 0.0000 0.3252 0.6228  4 As 2.61-2.68